Entry 1:
Below is a relaxed Ho12Ag3O5 crystal, with properties calculated at the PBE-GGA level.

a b c (Å): 13.264 13.264 13.264
angles (deg): 109.47 109.47 109.47
Positions (direct):
Ho  0.013  0.201  0.110
Ho  0.013  0.312  0.904
Ho  0.091  0.701  0.688
Ho  0.091  0.890  0.404
Ho  0.096  0.610  0.409
Ho  0.096  0.987  0.688
Ho  0.110  0.013  0.201
Ho  0.110  0.596  0.909
Ho  0.188  0.201  0.591
Ho  0.188  0.487  0.596
Ho  0.201  0.110  0.013
Ho  0.201  0.591  0.188
Ho  0.299  0.312  0.909
Ho  0.299  0.487  0.390
Ho  0.312  0.904  0.013
Ho  0.312  0.909  0.299
Ho  0.390  0.299  0.487
Ho  0.390  0.591  0.904
Ho  0.404  0.091  0.890
Ho  0.404  0.812  0.513
Ho  0.409  0.096  0.610
Ho  0.409  0.812  0.799
Ho  0.487  0.390  0.299
Ho  0.487  0.596  0.188
Ho  0.513  0.404  0.812
Ho  0.513  0.610  0.701
Ho  0.591  0.188  0.201
Ho  0.591  0.904  0.390
Ho  0.596  0.188  0.487
Ho  0.596  0.909  0.110
Ho  0.610  0.409  0.096
Ho  0.610  0.701  0.513
Ho  0.688  0.091  0.701
Ho  0.688  0.096  0.987
Ho  0.701  0.513  0.610
Ho  0.701  0.688  0.091
Ho  0.799  0.409  0.812
Ho  0.799  0.890  0.987
Ho  0.812  0.513  0.404
Ho  0.812  0.799  0.409
Ho  0.890  0.404  0.091
Ho  0.890  0.987  0.799
Ho  0.904  0.013  0.312
Ho  0.904  0.390  0.591
Ho  0.909  0.110  0.596
Ho  0.909  0.299  0.312
Ho  0.987  0.688  0.096
Ho  0.987  0.799  0.890
Ag  0.125  0.250  0.375
Ag  0.125  0.375  0.750
Ag  0.250  0.375  0.125
Ag  0.250  0.875  0.625
Ag  0.375  0.125  0.250
Ag  0.375  0.750  0.125
Ag  0.625  0.250  0.875
Ag  0.625  0.875  0.750
Ag  0.750  0.125  0.375
Ag  0.750  0.625  0.875
Ag  0.875  0.625  0.250
Ag  0.875  0.750  0.625
O  0.000  0.000  0.000
O  0.000  0.000  0.500
O  0.000  0.500  0.000
O  0.000  0.500  0.500
O  0.125  0.750  0.875
O  0.125  0.875  0.250
O  0.250  0.125  0.875
O  0.250  0.625  0.375
O  0.375  0.250  0.625
O  0.375  0.625  0.750
O  0.500  0.000  0.000
O  0.500  0.000  0.500
O  0.500  0.500  0.000
O  0.500  0.500  0.500
O  0.625  0.375  0.250
O  0.625  0.750  0.375
O  0.750  0.375  0.625
O  0.750  0.875  0.125
O  0.875  0.125  0.750
O  0.875  0.250  0.125

=====

Entry 2:
Below is a relaxed Ho3AgO crystal, with properties calculated at the PBE-GGA level.

a b c (Å): 4.727 4.727 4.727
angles (deg): 90.00 90.00 90.00
Positions (direct):
Ho  0.000  0.000  0.500
Ho  0.000  0.500  0.000
Ho  0.500  0.000  0.000
Ag  0.500  0.500  0.500
O  0.000  0.000  0.000

=====

Entry 3:
Below is a relaxed HoAg2O3 crystal, with properties calculated at the PBE-GGA level.

a b c (Å): 6.496 6.496 5.164
angles (deg): 90.00 90.00 123.30
Positions (direct):
Ho  0.245  0.755  0.750
Ho  0.755  0.245  0.250
Ag  0.248  0.248  0.000
Ag  0.248  0.248  0.500
Ag  0.752  0.752  0.000
Ag  0.752  0.752  0.500
O  0.075  0.376  0.750
O  0.367  0.633  0.250
O  0.376  0.075  0.250
O  0.624  0.925  0.750
O  0.633  0.367  0.750
O  0.925  0.624  0.250

=====

Entry 4:
Below is a relaxed HoAgO crystal, with properties calculated at the PBE-GGA level.

a b c (Å): 3.847 3.847 7.510
angles (deg): 90.00 90.00 90.00
Positions (direct):
Ho  0.250  0.250  0.147
Ho  0.750  0.750  0.853
Ag  0.250  0.250  0.566
Ag  0.750  0.750  0.434
O  0.250  0.750  0.000
O  0.750  0.250  0.000

=====

Entry 5:
Below is a relaxed HoAgO2 crystal, with properties calculated at the PBE-GGA level.

a b c (Å): 3.430 3.430 17.491
angles (deg): 90.00 90.00 120.00
Positions (direct):
Ho  0.000  0.000  0.000
Ho  0.333  0.667  0.667
Ho  0.667  0.333  0.333
Ag  0.000  0.000  0.826
Ag  0.333  0.667  0.493
Ag  0.667  0.333  0.160
O  0.000  0.000  0.399
O  0.000  0.000  0.603
O  0.333  0.667  0.065
O  0.333  0.667  0.269
O  0.667  0.333  0.732
O  0.667  0.333  0.936

=====

Entry 6:
Below is a relaxed Ho3AgO6 crystal, with properties calculated at the PBE-GGA level.

a b c (Å): 7.118 7.118 5.581
angles (deg): 90.00 90.00 102.64
Positions (direct):
Ho  0.101  0.899  0.500
Ho  0.180  0.410  0.446
Ho  0.410  0.180  0.946
Ho  0.590  0.820  0.446
Ho  0.820  0.590  0.946
Ho  0.899  0.101  0.000
Ag  0.354  0.646  0.941
Ag  0.646  0.354  0.441
O  0.081  0.604  0.721
O  0.143  0.177  0.722
O  0.177  0.143  0.222
O  0.280  0.720  0.282
O  0.396  0.919  0.721
O  0.478  0.522  0.647
O  0.522  0.478  0.147
O  0.604  0.081  0.221
O  0.720  0.280  0.782
O  0.823  0.857  0.722
O  0.857  0.823  0.222
O  0.919  0.396  0.221

=====

Entry 7:
Below is a relaxed HoAgOsO6 crystal, with properties calculated at the PBE-GGA level.

a b c (Å): 5.522 5.522 4.771
angles (deg): 90.00 90.00 120.00
Positions (direct):
Ho  0.000  0.000  0.000
Ag  0.333  0.667  0.500
Os  0.667  0.333  0.000
O  0.379  0.058  0.775
O  0.379  0.321  0.225
O  0.679  0.058  0.225
O  0.679  0.621  0.775
O  0.942  0.321  0.775
O  0.942  0.621  0.225

=====

Entry 8:
Below is a relaxed Ho2AgOsO8 crystal, with properties calculated at the PBE-GGA level.

a b c (Å): 4.888 4.888 7.010
angles (deg): 92.45 92.45 87.28
Positions (direct):
Ho  0.024  0.024  0.258
Ho  0.976  0.976  0.742
Ag  0.500  0.500  0.500
Os  0.500  0.500  0.000
O  0.198  0.802  0.500
O  0.221  0.779  0.000
O  0.291  0.291  0.830
O  0.344  0.344  0.215
O  0.656  0.656  0.785
O  0.709  0.709  0.170
O  0.779  0.221  0.000
O  0.802  0.198  0.500

=====

Entry 9:
Below is a relaxed HoAgP2O6 crystal, with properties calculated at the PBE-GGA level.

a b c (Å): 6.750 6.750 7.820
angles (deg): 106.43 106.43 100.04
Positions (direct):
Ho  0.061  0.939  0.750
Ho  0.939  0.061  0.250
Ag  0.347  0.653  0.250
Ag  0.653  0.347  0.750
P  0.011  0.378  0.749
P  0.378  0.011  0.249
P  0.622  0.989  0.751
P  0.989  0.622  0.251
O  0.002  0.804  0.429
O  0.046  0.602  0.737
O  0.163  0.340  0.917
O  0.196  0.998  0.071
O  0.340  0.163  0.417
O  0.398  0.954  0.763
O  0.602  0.046  0.237
O  0.660  0.837  0.583
O  0.804  0.002  0.929
O  0.837  0.660  0.083
O  0.954  0.398  0.263
O  0.998  0.196  0.571

=====

Entry 10:
Below is a relaxed HoPaAg2O8 crystal, with properties calculated at the PBE-GGA level.

a b c (Å): 6.204 6.204 6.204
angles (deg): 107.96 107.96 112.55
Positions (direct):
Ho  0.000  0.000  0.000
Pa  0.750  0.250  0.500
Ag  0.250  0.750  0.500
Ag  0.500  0.500  0.000
O  0.016  0.336  0.320
O  0.016  0.696  0.680
O  0.083  0.270  0.813
O  0.304  0.984  0.320
O  0.457  0.270  0.187
O  0.664  0.984  0.680
O  0.730  0.543  0.813
O  0.730  0.917  0.187

=====

Entry 11:
Below is a relaxed HoPaAg2O6 crystal, with properties calculated at the PBE-GGA level.

a b c (Å): 5.860 5.860 5.774
angles (deg): 118.98 118.98 64.13
Positions (direct):
Ho  0.000  0.000  0.000
Pa  0.500  0.500  0.500
Ag  0.247  0.247  0.798
Ag  0.753  0.753  0.202
O  0.173  0.668  0.176
O  0.260  0.260  0.415
O  0.332  0.827  0.824
O  0.668  0.173  0.176
O  0.740  0.740  0.585
O  0.827  0.332  0.824

=====

Entry 12:
Below is a relaxed Ho3Ag3PdO8 crystal, with properties calculated at the PBE-GGA level.

a b c (Å): 6.748 6.748 6.925
angles (deg): 119.25 119.25 60.01
Positions (direct):
Ho  0.000  0.000  0.000
Ho  0.000  0.500  0.000
Ho  0.500  0.000  0.000
Ag  0.000  0.500  0.500
Ag  0.500  0.000  0.500
Ag  0.500  0.500  0.500
Pd  0.500  0.500  0.000
O  0.227  0.227  0.182
O  0.260  0.716  0.191
O  0.284  0.284  0.809
O  0.284  0.740  0.809
O  0.716  0.260  0.191
O  0.716  0.716  0.191
O  0.740  0.284  0.809
O  0.773  0.773  0.818

=====

| no. | total DFT energy (no corrections) (Ry per atom) |
| --- | --- |
| 1 | -0.433 |
| 2 | -0.407 |
| 3 | -0.375 |
| 4 | -0.455 |
| 5 | -0.474 |
| 6 | -0.534 |
| 7 | -0.500 |
| 8 | -0.519 |
| 9 | -0.507 |
| 10 | -0.473 |
| 11 | -0.513 |
| 12 | -0.459 |